This record from the Alexandria database describes TbPaPd2 after structural relaxation. The functional is PBE-GGA.

abc: 4.9834 4.9834 4.9834
angles: 60.00 60.00 60.00
Site moments in Bohr magnetons follow the coordinates.
Atoms (fractional coordinates):
Pa1 0.5000 0.5000 0.5000  0.69
Pd1 0.2500 0.2500 0.2500  -0.01
Tb1 0.0000 0.0000 0.0000  0.10
Pd2 0.7500 0.7500 0.7500  -0.01

Summary:
Total moment, μB/f.u.: 0.9
Formation energy from the elements, kJ/mol of formula units: -206
Space-group type: Fm-3m, No. 225
Energy, eV/atom: -6.663
Energy relative to the lowest polymorph listed for this composition, meV/atom: 41



This record from the Alexandria database describes LaCePmGa after structural relaxation. The functional is PBE-GGA.

abc: 5.4443 5.4443 5.4443
angles: 60.00 60.00 60.00
Site moments in Bohr magnetons follow the coordinates.
Atoms (fractional coordinates):
Ce1 0.2500 0.2500 0.2500  0.54
Pm1 0.5000 0.5000 0.5000  0.15
La1 0.7500 0.7500 0.7500  0.05
Ga1 0.0000 0.0000 0.0000  -0.01

Summary:
Total moment, μB/f.u.: 0.9
Formation energy from the elements, kJ/mol of formula units: -18
Space-group type: F-43m, No. 216
Energy, eV/atom: -4.705



This record from the Alexandria database describes LiY4Au3 after structural relaxation. The functional is PBE-GGA.

abc: 5.1242 5.1242 8.0917
angles: 108.55 108.54 90.05
Atoms (fractional coordinates):
Y1 0.6267 0.6270 0.2534
Y2 0.3733 0.3730 0.7466
Y3 0.8730 0.8732 0.7466
Au1 0.0000 0.5000 0.0000
Y4 0.1270 0.1268 0.2534
Au2 0.7334 0.2334 0.4657
Au3 0.2666 0.7666 0.5343
Li1 0.5000 0.0000 0.0000

Summary:
Total moment, μB/f.u.: 0.0
Formation energy from the elements, kJ/mol of formula units: -514
Space-group type: C2/m, No. 12
Energy, eV/atom: -5.366



This record from the Alexandria database describes SrBe6As4 after structural relaxation. The functional is PBE-GGA.

abc: 3.7364 3.7521 13.7301
angles: 105.85 97.82 90.00
Atoms (fractional coordinates):
Be1 0.7767 0.0530 0.5534
As1 0.4276 0.3552 0.8552
Be2 0.8772 0.2532 0.7544
Be3 0.3748 0.7501 0.7496
Sr1 0.0000 0.0000 0.0000
Be4 0.1228 0.7468 0.2456
As2 0.1770 0.3544 0.3539
As3 0.8230 0.6456 0.6461
Be5 0.2233 0.9470 0.4466
Be6 0.6252 0.2499 0.2504
As4 0.5724 0.6448 0.1448

Summary:
Total moment, μB/f.u.: 0.0
Formation energy from the elements, kJ/mol of formula units: -149
Space-group type: Cmmm, No. 65
Energy, eV/atom: -4.017



Q: Look up the energy of the first one.
A: -6.663 eV/atom